[1]
MgAs3C | GGA-PBE | relaxed

The space group is Pm-3m (No. 221) and the conventional cell measures 4.4376, 4.4376 and 4.4376 Å, with angles of 90.00, 90.00 and 90.00 degrees. The inequivalent atoms are Mg at (0.0000, 0.0000, 0.0000), As at (0.0000, 0.5000, 0.5000) and C at (0.5000, 0.5000, 0.5000).

Its density is 5.0 g cm⁻³. As for the polymorph energy (0 for the lowest one): 0.0 meV/atom. For the magnetization, the calculation gives 0.0 μB per cell. For the formation energy, the calculation gives 0.85 eV/atom.

[2]
LiPr4Zn2Ga | GGA-PBE | relaxed

The space group is R-3m (No. 166, hexagonal axes) and the conventional cell measures 5.2793, 5.2793 and 25.9425 Å, with angles of 90.00, 90.00 and 120.00 degrees. The inequivalent atoms are Li at (0.0000, 0.0000, 0.0000), Pr at (0.0000, 0.0000, 0.1270), Pr at (0.0000, 0.0000, 0.3779), Zn at (0.0000, 0.0000, 0.2553) and Ga at (0.0000, 0.0000, 0.5000).

Its density is 6.1 g cm⁻³. For the magnetization, the calculation gives 0.0 μB per cell. For the formation energy, the calculation gives -0.28 eV/atom.